(1)
A relaxed structure of KInNi, computed with PBE.

The value obtained for the total magnetization is 0.092 μB per atom. The density of states at the Fermi level is 38.6 states/eV per cell. For the formation energy, the calculation gives 1057.3 meV per atom. Its calculated total energy is -2.148 eV/atom.

The structure belongs to space group F-43m (No. 216); the cell edges are 7.319, 7.319 and 7.319 Å and the angles 90.00°, 90.00° and 90.00°. The inequivalent atoms are K at (0.000, 0.000, 0.000), In at (0.250, 0.250, 0.250) and Ni at (0.250, 0.250, 0.750).

***

(2)
A relaxed structure of KInNi2, computed with PBE.

The value obtained for the total magnetization is 0.000 μB per atom. The density of states at the Fermi level is 6.5 states/eV per cell. For the formation energy, the calculation gives 683.1 meV per atom. Its calculated total energy is -3.167 eV/atom.

The structure belongs to space group I-4m2 (No. 119); the cell edges are 4.019, 4.019 and 9.296 Å and the angles 90.00°, 90.00° and 90.00°. The inequivalent atoms are K at (0.000, 0.000, 0.000), In at (0.000, 0.500, 0.750), Ni at (0.000, 0.000, 0.500) and Ni at (0.000, 0.500, 0.250).

***

(3)
A relaxed structure of KIn6Ni, computed with PBE.

The value obtained for the total magnetization is 0.000 μB per atom. The density of states at the Fermi level is 3.8 states/eV per cell. For the formation energy, the calculation gives -81.5 meV per atom. Its calculated total energy is -2.995 eV/atom.

The structure belongs to space group P4/mmm (No. 123); the cell edges are 4.695, 4.695 and 9.693 Å and the angles 90.00°, 90.00° and 90.00°. The inequivalent atoms are K at (0.000, 0.000, 0.000), In at (0.000, 0.500, 0.347), In at (0.500, 0.500, 0.151) and Ni at (0.000, 0.000, 0.500).

***

(4)
A relaxed structure of KInNi2, computed with PBE.

The value obtained for the total magnetization is 0.000 μB per atom. The density of states at the Fermi level is 3.9 states/eV per cell. For the formation energy, the calculation gives 678.6 meV per atom. Its calculated total energy is -3.171 eV/atom.

The structure belongs to space group P2/m (No. 10); the cell edges are 4.950, 2.883 and 5.591 Å and the angles 90.00°, 109.24° and 90.00°. The inequivalent atoms are K at (0.000, 0.000, 0.000), In at (0.500, 0.500, 0.500), Ni at (0.000, 0.000, 0.500) and Ni at (0.500, 0.500, 0.000).

***

(5)
A relaxed structure of KInNi2, computed with PBE.

The value obtained for the total magnetization is 0.000 μB per atom. The density of states at the Fermi level is 2.7 states/eV per cell. For the formation energy, the calculation gives 348.6 meV per atom. Its calculated total energy is -3.501 eV/atom.

The structure belongs to space group P4/mmm (No. 123); the cell edges are 3.334, 3.334 and 7.460 Å and the angles 90.00°, 90.00° and 90.00°. The inequivalent atoms are K at (0.000, 0.000, 0.000), In at (0.000, 0.000, 0.500) and Ni at (0.500, 0.500, 0.333).

***

(6)
A relaxed structure of KInNiPb2, computed with PBE.

The value obtained for the total magnetization is 0.000 μB per atom. The density of states at the Fermi level is 3.9 states/eV per cell. For the formation energy, the calculation gives 30.5 meV per atom. Its calculated total energy is -3.376 eV/atom.

The structure belongs to space group P4/mmm (No. 123); the cell edges are 5.320, 5.320 and 5.129 Å and the angles 90.00°, 90.00° and 90.00°. The inequivalent atoms are K at (0.000, 0.000, 0.000), In at (0.500, 0.500, 0.000), Ni at (0.500, 0.500, 0.500) and Pb at (0.000, 0.500, 0.500).

***

(7)
A relaxed structure of KRbIn2Ni, computed with PBE.

The value obtained for the total magnetization is 0.000 μB per atom. The density of states at the Fermi level is 2.6 states/eV per cell. For the formation energy, the calculation gives 28.1 meV per atom. Its calculated total energy is -2.637 eV/atom.

The structure belongs to space group P4/mmm (No. 123); the cell edges are 5.110, 5.110 and 6.145 Å and the angles 90.00°, 90.00° and 90.00°. The inequivalent atoms are K at (0.000, 0.000, 0.000), Rb at (0.500, 0.500, 0.000), In at (0.000, 0.500, 0.500) and Ni at (0.000, 0.000, 0.500).

***

(8)
A relaxed structure of KInNiSn2, computed with PBE.

The value obtained for the total magnetization is 0.000 μB per atom. The density of states at the Fermi level is 3.6 states/eV per cell. For the formation energy, the calculation gives -29.6 meV per atom. Its calculated total energy is -3.554 eV/atom.

The structure belongs to space group P4/mmm (No. 123); the cell edges are 5.140, 5.140 and 5.113 Å and the angles 90.00°, 90.00° and 90.00°. The inequivalent atoms are K at (0.000, 0.000, 0.000), In at (0.500, 0.500, 0.000), Ni at (0.500, 0.500, 0.500) and Sn at (0.000, 0.500, 0.500).

***

(9)
A relaxed structure of KSr2InNi, computed with PBE.

The value obtained for the total magnetization is 0.000 μB per atom. The density of states at the Fermi level is 4.4 states/eV per cell. For the formation energy, the calculation gives -62.3 meV per atom. Its calculated total energy is -2.658 eV/atom.

The structure belongs to space group P4/mmm (No. 123); the cell edges are 5.934, 5.934 and 5.145 Å and the angles 90.00°, 90.00° and 90.00°. The inequivalent atoms are K at (0.000, 0.000, 0.000), Sr at (0.000, 0.500, 0.500), In at (0.500, 0.500, 0.000) and Ni at (0.500, 0.500, 0.500).

***

(10)
A relaxed structure of KTlIn2Ni, computed with PBE.

The value obtained for the total magnetization is 0.000 μB per atom. The density of states at the Fermi level is 2.7 states/eV per cell. For the formation energy, the calculation gives -46.7 meV per atom. Its calculated total energy is -2.991 eV/atom.

The structure belongs to space group P4/mmm (No. 123); the cell edges are 5.112, 5.112 and 5.275 Å and the angles 90.00°, 90.00° and 90.00°. The inequivalent atoms are K at (0.000, 0.000, 0.000), Tl at (0.500, 0.500, 0.000), In at (0.000, 0.500, 0.500) and Ni at (0.500, 0.500, 0.500).

***

(11)
A relaxed structure of KV2InNi, computed with PBE.

The value obtained for the total magnetization is 0.855 μB per atom. The density of states at the Fermi level is 5.6 states/eV per cell. For the formation energy, the calculation gives 2468.9 meV per atom. Its calculated total energy is -3.102 eV/atom.

The structure belongs to space group P4/mmm (No. 123); the cell edges are 4.435, 4.435 and 5.392 Å and the angles 90.00°, 90.00° and 90.00°. The inequivalent atoms are K at (0.000, 0.000, 0.000), V at (0.000, 0.500, 0.000), In at (0.000, 0.000, 0.500) and Ni at (0.500, 0.500, 0.500).

***

(12)
A relaxed structure of KIn2NiW, computed with PBE.

The value obtained for the total magnetization is 0.000 μB per atom. The density of states at the Fermi level is 3.3 states/eV per cell. For the formation energy, the calculation gives 638.0 meV per atom. Its calculated total energy is -4.424 eV/atom.

The structure belongs to space group P4/mmm (No. 123); the cell edges are 5.429, 5.429 and 4.634 Å and the angles 90.00°, 90.00° and 90.00°. The inequivalent atoms are K at (0.000, 0.000, 0.000), In at (0.000, 0.500, 0.500), Ni at (0.500, 0.500, 0.000) and W at (0.500, 0.500, 0.500).